[1]
## CdPd3I (PBE-GGA)

Data for an optimized crystal structure of CdPd3I.

a = 5.011 Å, b = 5.011 Å, c = 5.011 Å
α = 90.00°, β = 90.00°, γ = 90.00°
Element x y z (fractional)
1 I 0.000 0.000 0.000
2 Pd 0.000 0.500 0.000
3 Pd 0.000 0.000 0.500
4 Pd 0.500 0.000 0.000
5 Cd 0.500 0.500 0.500

Summary:
Energy above the lowest structure with this stoichiometry (meV per atom): 0
Space group: Pm-3m (221)

---

[2]
## CdPd2I2 (PBE-GGA)

Data for an optimized crystal structure of CdPd2I2.

a = 3.957 Å, b = 3.957 Å, c = 8.500 Å
α = 76.54°, β = 76.54°, γ = 90.00°
Element x y z (fractional)
1 I 0.379 0.379 0.242
2 I 0.621 0.621 0.758
3 Pd 0.750 0.250 0.500
4 Pd 0.250 0.750 0.500
5 Cd 0.000 0.000 0.000

Summary:
Energy above the lowest structure with this stoichiometry (meV per atom): 0
Space group: I4/mmm (139)

---

[3]
## CdPd2I2 (PBE-GGA)

Data for an optimized crystal structure of CdPd2I2.

a = 8.178 Å, b = 8.178 Å, c = 3.641 Å
α = 90.00°, β = 90.00°, γ = 90.00°
Element x y z (fractional)
1 I 0.327 0.827 0.000
2 I 0.827 0.673 0.000
3 I 0.673 0.173 0.000
4 I 0.173 0.327 0.000
5 Pd 0.124 0.624 0.500
6 Pd 0.624 0.876 0.500
7 Pd 0.876 0.376 0.500
8 Pd 0.376 0.124 0.500
9 Cd 0.000 0.000 0.000
10 Cd 0.500 0.500 0.000

Summary:
Energy above the lowest structure with this stoichiometry (meV per atom): 158
Space group: P4/mbm (127)

---

[4]
## CdPdI3 (PBE-GGA)

Data for an optimized crystal structure of CdPdI3.

a = 5.521 Å, b = 5.521 Å, c = 5.521 Å
α = 90.00°, β = 90.00°, γ = 90.00°
Element x y z (fractional)
1 I 0.000 0.500 0.000
2 I 0.000 0.000 0.500
3 I 0.500 0.000 0.000
4 Pd 0.000 0.000 0.000
5 Cd 0.500 0.500 0.500

Summary:
Energy above the lowest structure with this stoichiometry (meV per atom): 0
Space group: Pm-3m (221)

---

[5]
## Rb2CdPdI6 (PBE-GGA)

Data for an optimized crystal structure of Rb2CdPdI6.

a = 8.243 Å, b = 8.243 Å, c = 8.257 Å
α = 60.05°, β = 60.05°, γ = 90.00°
Element x y z (fractional)
1 I 0.262 0.262 0.476
2 I 0.738 0.738 0.524
3 I 0.257 0.257 0.000
4 I 0.743 0.743 0.000
5 I 0.743 0.257 0.000
6 I 0.257 0.743 0.000
7 Rb 0.750 0.250 0.500
8 Rb 0.250 0.750 0.500
9 Pd 0.500 0.500 0.000
10 Cd 0.000 0.000 0.000

Summary:
Space group: I4/mmm (139)

---

[6]
## CdSb2PdI (PBE-GGA)

Data for an optimized crystal structure of CdSb2PdI.

a = 5.263 Å, b = 5.263 Å, c = 5.637 Å
α = 90.00°, β = 90.00°, γ = 90.00°
Element x y z (fractional)
1 I 0.000 0.000 0.500
2 Sb 0.000 0.500 0.000
3 Sb 0.500 0.000 0.000
4 Pd 0.000 0.000 0.000
5 Cd 0.500 0.500 0.500

Summary:
Energy above the lowest structure with this stoichiometry (meV per atom): 0
Space group: P4/mmm (123)

---

[7]
## Sc2CdPdI (PBE-GGA)

Data for an optimized crystal structure of Sc2CdPdI.

a = 5.368 Å, b = 5.518 Å, c = 5.368 Å
α = 90.00°, β = 90.00°, γ = 90.00°
Element x y z (fractional)
1 I 0.000 0.500 0.000
2 Sc 0.000 0.000 0.500
3 Sc 0.500 0.000 0.000
4 Pd 0.500 0.500 0.500
5 Cd 0.000 0.000 0.000

Summary:
Space group: P4/mmm (123)

---

[8]
## Sr2CdPdI (PBE-GGA)

Data for an optimized crystal structure of Sr2CdPdI.

a = 5.925 Å, b = 5.925 Å, c = 5.254 Å
α = 90.00°, β = 90.00°, γ = 90.00°
Element x y z (fractional)
1 I 0.500 0.500 0.500
2 Sr 0.000 0.500 0.000
3 Sr 0.500 0.000 0.000
4 Pd 0.000 0.000 0.000
5 Cd 0.000 0.000 0.500

Summary:
Space group: P4/mmm (123)

---

[9]
## CdTePdI2 (PBE-GGA)

Data for an optimized crystal structure of CdTePdI2.

a = 5.474 Å, b = 5.474 Å, c = 5.441 Å
α = 90.00°, β = 90.00°, γ = 90.00°
Element x y z (fractional)
1 I 0.000 0.500 0.000
2 I 0.500 0.000 0.000
3 Te 0.000 0.000 0.500
4 Pd 0.000 0.000 0.000
5 Cd 0.500 0.500 0.500

Summary:
Energy above the lowest structure with this stoichiometry (meV per atom): 0
Space group: P4/mmm (123)

---

[10]
## Tl2CdPdI (PBE-GGA)

Data for an optimized crystal structure of Tl2CdPdI.

a = 5.462 Å, b = 5.462 Å, c = 5.341 Å
α = 90.00°, β = 90.00°, γ = 90.00°
Element x y z (fractional)
1 I 0.500 0.500 0.500
2 Tl 0.000 0.500 0.000
3 Tl 0.500 0.000 0.000
4 Pd 0.000 0.000 0.000
5 Cd 0.000 0.000 0.500

Summary:
Space group: P4/mmm (123)

---

[11]
## Cd2PdWI (PBE-GGA)

Data for an optimized crystal structure of Cd2PdWI.

a = 5.745 Å, b = 4.962 Å, c = 5.745 Å
α = 90.00°, β = 90.00°, γ = 90.00°
Element x y z (fractional)
1 I 0.000 0.000 0.000
2 Pd 0.000 0.500 0.000
3 W 0.500 0.500 0.500
4 Cd 0.000 0.000 0.500
5 Cd 0.500 0.000 0.000

Summary:
Space group: P4/mmm (123)

---

[12]
## Pm4CdI5 (PBE-GGA)

Data for an optimized crystal structure of Pm4CdI5.

a = 4.238 Å, b = 9.350 Å, c = 9.976 Å
α = 101.68°, β = 102.26°, γ = 90.00°
Element x y z (fractional)
1 Pm 0.657 0.074 0.315
2 Pm 0.001 0.232 0.002
3 Pm 0.343 0.926 0.685
4 Pm 0.999 0.768 0.998
5 Cd 0.500 0.000 0.000
6 I 0.168 0.334 0.336
7 I 0.171 0.822 0.343
8 I 0.829 0.178 0.657
9 I 0.500 0.500 0.000
10 I 0.832 0.666 0.664

Summary:
Space group: C2/m (12)

---

Listing total magnetization for the structures above in their given order: 0.00, 0.00, 0.00, 0.00, 0.00, 0.75, 0.00, 0.00, 0.00, 0.00, 4.94, 0.00 μB/cell.
Listing energy relative to the elements, uncorrected for the structures above in their given order: 0.475, 0.078, 0.236, -0.003, -0.756, 0.311, 0.820, -0.650, 0.123, -0.271, 1.761, -1.004 eV per atom.